(1)
The following is a DFT calculation (PBE) of crystalline MnFeGe at its relaxed geometry.

abc: 3.1559 6.5555 6.5555
angles: 120.00 90.00 90.00
Last column: magnetic moment on the atom in μB.
Positions (direct):
Mn  0.5000  0.6106  0.0000  3.02
Mn  0.5000  0.0000  0.6106  3.02
Ge  0.5000  0.0000  0.0000  -0.12
Fe  0.0000  0.7299  0.7299  1.81
Fe  0.0000  0.0000  0.2701  1.81
Mn  0.5000  0.3894  0.3894  3.02
Ge  0.0000  0.3333  0.6667  -0.14
Ge  0.0000  0.6667  0.3333  -0.14
Fe  0.0000  0.2701  0.0000  1.81

Summary:
E (eV/atom): -7.540
Crystal system: hexagonal

***

(2)
The following is a DFT calculation (PBE) of crystalline Cr2AsAu at its relaxed geometry.

abc: 4.7554 4.7554 4.7554
angles: 131.86 121.77 78.83
Last column: magnetic moment on the atom in μB.
Positions (direct):
Au  0.2500  0.7500  0.5000  0.05
Cr  0.9735  0.9735  0.0000  3.18
Cr  0.5265  0.5265  0.0000  3.18
As  0.7500  0.2500  0.5000  -0.16

Summary:
E (eV/atom): -6.538
Crystal system: orthorhombic